1.
Compound: Ca3SbP
Source: the Alexandria database
Functional: PBE-GGA
Structure: relaxed

total magnetization = 0.000 μB/cell
crystal system = monoclinic
uncorrected formation energy = -1.058 eV/atom

Unit cell a=8.4697 b=9.4238 c=7.6919 alpha=90.00 beta=111.67 gamma=90.00
Closest atoms and distances in Å follow each position.
Space group P2_1/c (No. 14)
Asymmetric unit:
Ca: 0.0026 0.0883 0.2970 (multiplicity 4)  3 P 2.81-3.06
Ca: 0.2788 0.0965 0.0714 (multiplicity 4)  2 P 2.83-3.11
Ca: 0.3532 0.7058 0.9697 (multiplicity 4)  2 P 2.86-2.93, 1 Sb 3.18
Sb: 0.3517 0.0770 0.6956 (multiplicity 4)  8 Ca 3.18-3.51
P: 0.1096 0.6555 0.6026 (multiplicity 4)  7 Ca 2.81-3.11

---

2.
Compound: LiYNpSe3
Source: the Alexandria database
Functional: PBE-GGA
Structure: relaxed

total magnetization = 9.447 μB/cell
crystal system = monoclinic
uncorrected formation energy = -1.375 eV/atom

Unit cell a=8.4360 b=3.9822 c=8.7939 alpha=90.00 beta=103.02 gamma=90.00
Closest atoms and distances in Å follow each position.
Space group P2_1/m (No. 11)
Asymmetric unit:
Li: 0.0861 0.2500 0.0801 (multiplicity 2)  4 Se 2.49-2.54, 2 Li 2.67
Y: 0.3350 0.7500 0.3340 (multiplicity 2)  6 Se 2.85-2.93
Np: 0.1764 0.2500 0.7163 (multiplicity 2)  7 Se 2.98-3.10
Se: 0.0973 0.2500 0.3659 (multiplicity 2)  1 Li 2.49
Se: 0.2228 0.7500 0.9936 (multiplicity 2)  3 Li 2.50-2.54
Se: 0.4244 0.7500 0.6721 (multiplicity 2)  3 Y 2.85-2.90, 2 Np 2.98

---

3.
Compound: SrCaTe
Source: the Alexandria database
Functional: PBE-GGA
Structure: relaxed

total magnetization = 0.000 μB/cell
crystal system = trigonal
uncorrected formation energy = -1.006 eV/atom

Unit cell a=4.4619 b=4.4619 c=7.3429 alpha=90.00 beta=90.00 gamma=120.00
Closest atoms and distances in Å follow each position.
Space group P3m1 (No. 156)
Asymmetric unit:
Sr: 0.0000 0.0000 0.0000 (multiplicity 1)  3 Te 3.34
Ca: 0.3333 0.6667 0.5383 (multiplicity 1)  3 Te 3.16
Te: 0.6667 0.3333 0.2891 (multiplicity 1)  3 Ca 3.16, 3 Sr 3.34

---

4.
Compound: Ca3PmSm3Te8
Source: the Alexandria database
Functional: PBE-GGA
Structure: relaxed

total magnetization = 0.000 μB/cell
crystal system = trigonal
uncorrected formation energy = -1.513 eV/atom

Unit cell a=8.8756 b=8.8756 c=22.1480 alpha=90.00 beta=90.00 gamma=120.00
Closest atoms and distances in Å follow each position.
Space group R-3m (No. 166, hexagonal axes)
Asymmetric unit:
Ca: 0.0000 0.5000 0.0000 (multiplicity 9)  6 Te 3.15-3.17
Pm: 0.0000 0.0000 0.5000 (multiplicity 3)  6 Te 3.19
Sm: 0.0000 0.5000 0.5000 (multiplicity 9)  6 Te 3.15-3.16
Te: 0.0000 0.0000 0.2502 (multiplicity 6)  3 Ca 3.15, 3 Sm 3.16
Te: 0.0049 0.5024 0.7495 (multiplicity 18)  2 Sm 3.15, 2 Ca 3.17, 1 Pm 3.19

---

Please write out number 2 again, unchanged.
Compound: LiYNpSe3
Source: the Alexandria database
Functional: PBE-GGA
Structure: relaxed

total magnetization = 9.447 μB/cell
crystal system = monoclinic
uncorrected formation energy = -1.375 eV/atom

Unit cell a=8.4360 b=3.9822 c=8.7939 alpha=90.00 beta=103.02 gamma=90.00
Closest atoms and distances in Å follow each position.
Space group P2_1/m (No. 11)
Asymmetric unit:
Li: 0.0861 0.2500 0.0801 (multiplicity 2)  4 Se 2.49-2.54, 2 Li 2.67
Y: 0.3350 0.7500 0.3340 (multiplicity 2)  6 Se 2.85-2.93
Np: 0.1764 0.2500 0.7163 (multiplicity 2)  7 Se 2.98-3.10
Se: 0.0973 0.2500 0.3659 (multiplicity 2)  1 Li 2.49
Se: 0.2228 0.7500 0.9936 (multiplicity 2)  3 Li 2.50-2.54
Se: 0.4244 0.7500 0.6721 (multiplicity 2)  3 Y 2.85-2.90, 2 Np 2.98

---

Repeat the third record exactly.
Compound: SrCaTe
Source: the Alexandria database
Functional: PBE-GGA
Structure: relaxed

total magnetization = 0.000 μB/cell
crystal system = trigonal
uncorrected formation energy = -1.006 eV/atom

Unit cell a=4.4619 b=4.4619 c=7.3429 alpha=90.00 beta=90.00 gamma=120.00
Closest atoms and distances in Å follow each position.
Space group P3m1 (No. 156)
Asymmetric unit:
Sr: 0.0000 0.0000 0.0000 (multiplicity 1)  3 Te 3.34
Ca: 0.3333 0.6667 0.5383 (multiplicity 1)  3 Te 3.16
Te: 0.6667 0.3333 0.2891 (multiplicity 1)  3 Ca 3.16, 3 Sr 3.34

---

The lowest uncorrected formation energy belongs to which entry?
Ca3PmSm3Te8

---

What is the formula in the second record?
LiYNpSe3